Entry 1:
# SrLa3Tb2Te6, optimized geometry, DFT GGA-PBE
# Spin magnetization = 0.00 μB/atom
# DFT total energy = -5.22 eV/atom
# Crystal system = monoclinic
data_SrLa3Tb2Te6
_chemical_formula_sum 'Sr1 La3 Tb2 Te6'
_cell_length_a 4.507
_cell_length_b 9.116
_cell_length_c 10.129
_cell_angle_alpha 103.26
_cell_angle_beta 102.85
_cell_angle_gamma 90.00
_symmetry_space_group_name_H-M 'P 1'
_symmetry_Int_Tables_number 1
loop_
_symmetry_equiv_pos_as_xyz
'x,y,z'
loop_
_atom_site_label
_atom_site_fract_x
_atom_site_fract_y
_atom_site_fract_z
_atom_site_occupancy
Sr1 0.500 0.000 0.000 1
La1 0.500 0.500 0.000 1
La2 0.836 0.173 0.673 1
La3 0.164 0.827 0.327 1
Tb1 0.831 0.660 0.661 1
Tb2 0.169 0.340 0.339 1
Te1 0.331 0.906 0.662 1
Te2 0.669 0.575 0.338 1
Te3 0.669 0.094 0.338 1
Te4 0.006 0.254 0.013 1
Te5 0.994 0.746 0.987 1
Te6 0.331 0.425 0.662 1


Entry 2:
# CeTmTh2P4, optimized geometry, DFT GGA-PBE
# Spin magnetization = 0.03 μB/atom
# Crystal system = monoclinic
# Formation enthalpy at 0 K = -150 kJ per mole of atoms
data_CeTmTh2P4
_chemical_formula_sum 'Ce1 Tm1 Th2 P4'
_cell_length_a 4.091
_cell_length_b 7.076
_cell_length_c 7.059
_cell_angle_alpha 109.56
_cell_angle_beta 90.00
_cell_angle_gamma 90.00
_symmetry_space_group_name_H-M 'P 1'
_symmetry_Int_Tables_number 1
loop_
_symmetry_equiv_pos_as_xyz
'x,y,z'
loop_
_atom_site_label
_atom_site_fract_x
_atom_site_fract_y
_atom_site_fract_z
_atom_site_occupancy
Ce1 0.500 0.500 0.000 1
Tm1 0.000 0.000 0.000 1
Th1 0.500 0.000 0.500 1
Th2 0.000 0.500 0.500 1
P1 0.500 0.244 0.241 1
P2 0.500 0.756 0.759 1
P3 0.000 0.249 0.757 1
P4 0.000 0.751 0.243 1


Entry 3:
# La2HoZrAs4, optimized geometry, DFT GGA-PBE
# Spin magnetization = 0.00 μB/atom
# Crystal system = monoclinic
# Formation enthalpy at 0 K = -139 kJ per mole of atoms
data_La2HoZrAs4
_chemical_formula_sum 'La2 Ho1 Zr1 As4'
_cell_length_a 4.153
_cell_length_b 7.197
_cell_length_c 7.240
_cell_angle_alpha 109.21
_cell_angle_beta 90.00
_cell_angle_gamma 90.00
_symmetry_space_group_name_H-M 'P 1'
_symmetry_Int_Tables_number 1
loop_
_symmetry_equiv_pos_as_xyz
'x,y,z'
loop_
_atom_site_label
_atom_site_fract_x
_atom_site_fract_y
_atom_site_fract_z
_atom_site_occupancy
La1 0.500 0.000 0.500 1
La2 0.000 0.500 0.500 1
Ho1 0.500 0.500 0.000 1
Zr1 0.000 0.000 0.000 1
As1 0.500 0.235 0.225 1
As2 0.500 0.765 0.775 1
As3 0.000 0.249 0.771 1
As4 0.000 0.751 0.229 1


Entry 4:
# NaOsPbO6, optimized geometry, DFT GGA-PBE
# Spin magnetization = 0.00 μB/atom
# DFT total energy = -6.08 eV/atom
# Crystal system = trigonal
data_NaOsPbO6
_chemical_formula_sum 'Na1 Os1 Pb1 O6'
_cell_length_a 5.482
_cell_length_b 5.482
_cell_length_c 4.713
_cell_angle_alpha 90.00
_cell_angle_beta 90.00
_cell_angle_gamma 59.99
_symmetry_space_group_name_H-M 'P 1'
_symmetry_Int_Tables_number 1
loop_
_symmetry_equiv_pos_as_xyz
'x,y,z'
loop_
_atom_site_label
_atom_site_fract_x
_atom_site_fract_y
_atom_site_fract_z
_atom_site_occupancy
Na1 0.667 0.667 0.500 1
Os1 0.333 0.333 0.500 1
Pb1 0.000 0.000 0.000 1
O1 0.052 0.333 0.271 1
O2 0.333 0.052 0.729 1
O3 0.615 0.333 0.729 1
O4 0.052 0.615 0.729 1
O5 0.333 0.615 0.271 1
O6 0.615 0.052 0.271 1


Entry 5:
# PmLuIr2, optimized geometry, DFT GGA-PBE
# Energy above the lowest structure with this stoichiometry = 0.000 eV/atom
# Spin magnetization = 0.00 μB/atom
# Crystal system = tetragonal
# Formation enthalpy at 0 K = -74 kJ per mole of atoms
data_PmLuIr2
_chemical_formula_sum 'Pm1 Lu1 Ir2'
_cell_length_a 3.344
_cell_length_b 3.344
_cell_length_c 7.243
_cell_angle_alpha 90.00
_cell_angle_beta 90.00
_cell_angle_gamma 90.00
_symmetry_space_group_name_H-M 'P 1'
_symmetry_Int_Tables_number 1
loop_
_symmetry_equiv_pos_as_xyz
'x,y,z'
loop_
_atom_site_label
_atom_site_fract_x
_atom_site_fract_y
_atom_site_fract_z
_atom_site_occupancy
Ir1 0.000 0.000 0.767 1
Ir2 0.000 0.000 0.233 1
Lu1 0.500 0.500 0.000 1
Pm1 0.500 0.500 0.500 1


Entry 6:
# Ac6Hg5Bi, optimized geometry, DFT GGA-PBE
# Spin magnetization = 0.00 μB/atom
# Crystal system = monoclinic
# Formation enthalpy at 0 K = -49 kJ per mole of atoms
data_Ac6Hg5Bi
_chemical_formula_sum 'Ac6 Hg5 Bi1'
_cell_length_a 5.776
_cell_length_b 10.018
_cell_length_c 10.018
_cell_angle_alpha 120.62
_cell_angle_beta 106.74
_cell_angle_gamma 106.74
_symmetry_space_group_name_H-M 'P 1'
_symmetry_Int_Tables_number 1
loop_
_symmetry_equiv_pos_as_xyz
'x,y,z'
loop_
_atom_site_label
_atom_site_fract_x
_atom_site_fract_y
_atom_site_fract_z
_atom_site_occupancy
Ac1 0.250 0.083 0.418 1
Ac2 0.750 0.582 0.917 1
Ac3 0.751 0.251 0.251 1
Ac4 0.249 0.749 0.749 1
Ac5 0.250 0.418 0.083 1
Ac6 0.750 0.917 0.582 1
Hg1 0.500 0.172 0.828 1
Hg2 0.000 0.334 0.666 1
Hg3 0.500 0.500 0.500 1
Hg4 0.000 0.666 0.334 1
Hg5 0.500 0.828 0.172 1
Bi1 0.000 0.000 0.000 1


Entry 7:
# LaSe2Cl, optimized geometry, DFT GGA-PBE
# Energy above the lowest structure with this stoichiometry = 0.446 eV/atom
# Spin magnetization = 0.00 μB/atom
# Crystal system = cubic
data_LaSe2Cl
_chemical_formula_sum 'La1 Se2 Cl1'
_cell_length_a 5.160
_cell_length_b 5.160
_cell_length_c 5.160
_cell_angle_alpha 60.00
_cell_angle_beta 60.00
_cell_angle_gamma 60.00
_symmetry_space_group_name_H-M 'P 1'
_symmetry_Int_Tables_number 1
loop_
_symmetry_equiv_pos_as_xyz
'x,y,z'
loop_
_atom_site_label
_atom_site_fract_x
_atom_site_fract_y
_atom_site_fract_z
_atom_site_occupancy
Cl1 0.500 0.500 0.500 1
La1 0.750 0.750 0.750 1
Se1 0.000 0.000 0.000 1
Se2 0.250 0.250 0.250 1


Entry 8:
# ZrMnSb2, optimized geometry, DFT GGA-PBE
# Spin magnetization = 0.92 μB/atom
# DFT total energy = -6.59 eV/atom
# Crystal system = orthorhombic
data_ZrMnSb2
_chemical_formula_sum 'Zr1 Mn1 Sb2'
_cell_length_a 5.313
_cell_length_b 5.313
_cell_length_c 5.313
_cell_angle_alpha 135.94
_cell_angle_beta 121.95
_cell_angle_gamma 75.66
_symmetry_space_group_name_H-M 'P 1'
_symmetry_Int_Tables_number 1
loop_
_symmetry_equiv_pos_as_xyz
'x,y,z'
loop_
_atom_site_label
_atom_site_fract_x
_atom_site_fract_y
_atom_site_fract_z
_atom_site_occupancy
Mn1 0.250 0.750 0.500 1
Sb1 0.020 0.020 0.000 1
Sb2 0.480 0.480 0.000 1
Zr1 0.750 0.250 0.500 1